Record 1
# MgTc2Os

A relaxed MgTc2Os crystal (GGA-PBE, Alexandria via LeMat-Bulk).

Lattice parameters (Å, degrees): 4.866 4.866 4.866 133.47 133.47 67.92
Sites, in units of the cell vectors:
Mg1 0.500 0.500 0.000
Tc1 0.250 0.750 0.500
Tc2 0.000 0.000 0.000
Os1 0.750 0.250 0.500

Output
DFT total energy: -32.34 eV for the cell shown
space group: No. 119

Record 2
# MgAsPb3

A relaxed MgAsPb3 crystal (GGA-PBE, Alexandria via LeMat-Bulk).

Lattice parameters (Å, degrees): 5.445 5.445 5.445 90.00 90.00 90.00
Sites, in units of the cell vectors:
Pb1 0.000 0.500 0.000
Pb2 0.000 0.000 0.500
Pb3 0.500 0.000 0.000
Mg1 0.000 0.000 0.000
As1 0.500 0.500 0.500

Output
DFT total energy: -14.61 eV for the cell shown
space group: No. 221

Record 3
# SrNb2VAg

A relaxed SrNb2VAg crystal (GGA-PBE, Alexandria via LeMat-Bulk).

Lattice parameters (Å, degrees): 5.143 4.902 5.143 90.00 90.00 90.00
Site moments in Bohr magnetons follow the coordinates.
Sites, in units of the cell vectors:
Nb1 0.000 0.000 0.500  1.03
Nb2 0.500 0.000 0.000  0.99
V1 0.000 0.500 0.000  0.08
Ag1 0.000 0.000 0.000  0.07
Sr1 0.500 0.500 0.500  0.07

Output
DFT total energy: -25.74 eV for the cell shown
space group: No. 123

Record 4
# NiIr

A relaxed NiIr crystal (GGA-PBE, Alexandria via LeMat-Bulk).

Lattice parameters (Å, degrees): 2.679 8.515 2.679 99.05 60.00 99.05
Site moments in Bohr magnetons follow the coordinates.
Sites, in units of the cell vectors:
Ni1 0.497 0.492 0.497  0.36
Ni2 0.753 0.258 0.753  0.36
Ir1 0.003 0.009 0.003  0.04
Ir2 0.247 0.741 0.247  0.04

Output
DFT total energy: -29.05 eV for the cell shown
space group: No. 166

Record 5
# MoP2

A relaxed MoP2 crystal (GGA-PBE, Alexandria via LeMat-Bulk).

Lattice parameters (Å, degrees): 14.518 14.518 14.518 166.15 166.15 19.63
Sites, in units of the cell vectors:
Mo1 0.166 0.666 0.500
Mo2 0.916 0.916 0.000
Mo3 0.334 0.834 0.500
Mo4 0.084 0.084 0.000
P1 0.994 0.494 0.500
P2 0.256 0.256 0.000
P3 0.506 0.006 0.500
P4 0.596 0.596 0.000
P5 0.404 0.404 0.000
P6 0.846 0.346 0.500
P7 0.744 0.744 0.000
P8 0.654 0.154 0.500

Output
DFT total energy: -84.47 eV for the cell shown
space group: No. 141

Record 6
# Re2NiOs

A relaxed Re2NiOs crystal (GGA-PBE, Alexandria via LeMat-Bulk).

Lattice parameters (Å, degrees): 3.788 3.788 3.864 90.00 90.00 90.00
Sites, in units of the cell vectors:
Re1 0.500 0.500 0.000
Re2 0.000 0.000 0.000
Os1 0.000 0.500 0.500
Ni1 0.500 0.000 0.500

Output
DFT total energy: -41.62 eV for the cell shown
space group: No. 123

Record 7
# Cs2VSnBr6

A relaxed Cs2VSnBr6 crystal (GGA-PBE, Alexandria via LeMat-Bulk).

Lattice parameters (Å, degrees): 7.945 7.945 7.945 60.00 60.00 90.00
Site moments in Bohr magnetons follow the coordinates.
Sites, in units of the cell vectors:
Br1 0.737 0.263 0.000  0.00
Br2 0.263 0.263 0.474  0.00
Br3 0.737 0.737 0.000  0.00
Br4 0.263 0.263 0.000  0.00
Br5 0.263 0.737 0.000  0.00
Br6 0.737 0.737 0.526  0.00
Cs1 0.250 0.750 0.500  0.00
Cs2 0.750 0.250 0.500  0.00
V1 0.500 0.500 0.000  2.60
Sn1 0.000 0.000 0.000  -0.01

Output
formation energy (no corrections): -114.9 kJ/mol of atoms
DFT total energy: -36.78 eV for the cell shown
space group: No. 225

no.,density (Mg/m³),V (Å³/f.u.)
1,11.4,59.6
2,7.4,161.4
3,5.5,129.7
4,16.0,26.0
5,6.0,43.8
6,18.6,55.4
7,4.3,354.6